# K2Li2Sb

A relaxed K2Li2Sb crystal (PBE, Alexandria via LeMat-Bulk).

Cell lengths 10.504, 10.504, 10.504 Å; angles 26.08, 26.08, 26.08 degrees
Atoms (fractional coordinates):
K: 0.070 0.070 0.070
K: 0.930 0.930 0.930
Li: 0.180 0.180 0.180
Li: 0.820 0.820 0.820
Sb: 0.500 0.500 0.500

**Raw formation energy**: -0.416 eV/atom
**Uncorrected energy**: -2.44 eV per atom
**Relative energy among the computed polymorphs**: 0 meV per atom
**SG**: No. 166
**Theoretical density**: 1.80 g/cm3

# KLi2Sb

A relaxed KLi2Sb crystal (PBE, Alexandria via LeMat-Bulk).

Cell lengths 11.213, 11.213, 11.213 Å; angles 18.61, 18.61, 18.61 degrees
Atoms (fractional coordinates):
K: 0.000 0.000 0.000
Li: 0.227 0.227 0.227
Li: 0.773 0.773 0.773
Sb: 0.500 0.500 0.500

**Raw formation energy**: -0.061 eV/atom
**Uncorrected energy**: -2.32 eV per atom
**SG**: No. 166
**Theoretical density**: 2.31 g/cm3

# KLiSb

A relaxed KLiSb crystal (PBE, Alexandria via LeMat-Bulk).

Cell lengths 5.806, 5.806, 11.952 Å; angles 90.00, 90.00, 111.24 degrees
Atoms (fractional coordinates):
K: 0.177 0.823 0.977
K: 0.323 0.677 0.477
K: 0.677 0.323 0.523
K: 0.823 0.177 0.023
Li: 0.086 0.914 0.715
Li: 0.414 0.586 0.215
Li: 0.586 0.414 0.785
Li: 0.914 0.086 0.285
Sb: 0.093 0.407 0.750
Sb: 0.407 0.093 0.250
Sb: 0.593 0.907 0.750
Sb: 0.907 0.593 0.250

**Raw formation energy**: -0.377 eV/atom
**Uncorrected energy**: -2.75 eV per atom
**Relative energy among the computed polymorphs**: 65 meV per atom
**SG**: No. 64
**Theoretical density**: 2.97 g/cm3

# KLiSbSe2

A relaxed KLiSbSe2 crystal (PBE, Alexandria via LeMat-Bulk).

Cell lengths 4.271, 4.081, 7.769 Å; angles 90.00, 90.08, 90.00 degrees
Atoms (fractional coordinates):
K: 0.000 0.000 0.000
Li: 0.500 0.000 0.500
Sb: 0.000 0.500 0.500
Se: 0.499 0.500 0.253
Se: 0.501 0.500 0.747

**Raw formation energy**: -0.739 eV/atom
**Uncorrected energy**: -3.56 eV per atom
**SG**: No. 10
**Theoretical density**: 3.99 g/cm3

# KLiSb2Se4

A relaxed KLiSb2Se4 crystal (PBE, Alexandria via LeMat-Bulk).

Cell lengths 7.359, 7.359, 14.778 Å; angles 90.00, 90.00, 146.93 degrees
Atoms (fractional coordinates):
K: 0.107 0.893 0.750
K: 0.893 0.107 0.250
Li: 0.161 0.839 0.250
Li: 0.839 0.161 0.750
Sb: 0.367 0.633 0.563
Sb: 0.367 0.633 0.937
Sb: 0.633 0.367 0.063
Sb: 0.633 0.367 0.437
Se: 0.000 0.000 0.000
Se: 0.000 0.000 0.500
Se: 0.265 0.735 0.108
Se: 0.265 0.735 0.392
Se: 0.431 0.569 0.750
Se: 0.569 0.431 0.250
Se: 0.735 0.265 0.608
Se: 0.735 0.265 0.892

**Raw formation energy**: -0.652 eV/atom
**Uncorrected energy**: -3.80 eV per atom
**SG**: No. 63
**Theoretical density**: 4.60 g/cm3

# K3LiSb2Se6

A relaxed K3LiSb2Se6 crystal (PBE, Alexandria via LeMat-Bulk).

Cell lengths 7.116, 7.116, 8.108 Å; angles 98.44, 98.44, 119.98 degrees
Atoms (fractional coordinates):
K: 0.000 0.000 0.000
K: 0.333 0.667 0.000
K: 0.667 0.333 0.000
Li: 0.500 0.500 0.500
Sb: 0.167 0.833 0.500
Sb: 0.833 0.167 0.500
Se: 0.099 0.434 0.302
Se: 0.231 0.231 0.699
Se: 0.434 0.099 0.302
Se: 0.566 0.901 0.698
Se: 0.769 0.769 0.301
Se: 0.901 0.566 0.698

**Raw formation energy**: -0.716 eV/atom
**Uncorrected energy**: -3.58 eV per atom
**SG**: No. 12
**Theoretical density**: 4.11 g/cm3